## BaHfSN2 (GGA-PBE)

Data for an optimized crystal structure of BaHfSN2.

Cell lengths 4.254, 4.254, 5.302 Å; angles 90.00, 90.00, 90.00 degrees
Sites, in units of the cell vectors:
Ba (0.000, 0.000, 0.000)
Hf (0.500, 0.500, 0.000)
S (0.000, 0.000, 0.500)
N (0.000, 0.500, 0.500)
N (0.500, 0.000, 0.500)

Summary:
The value obtained for the energy above the lowest structure with this stoichiometry is 2835 meV per atom. The crystal system is tetragonal. As for the space-group type: P4/mmm.

***

## BaHfSN2 (GGA-PBE)

Data for an optimized crystal structure of BaHfSN2.

Cell lengths 4.373, 4.373, 5.702 Å; angles 90.00, 90.00, 90.00 degrees
Sites, in units of the cell vectors:
Ba (0.000, 0.000, 0.000)
Hf (0.500, 0.500, 0.500)
S (0.000, 0.000, 0.500)
N (0.000, 0.500, 0.000)
N (0.500, 0.000, 0.000)

Summary:
The value obtained for the energy above the lowest structure with this stoichiometry is 2352 meV per atom. The crystal system is tetragonal. As for the space-group type: P4/mmm.

***

## BaHfS2N (GGA-PBE)

Data for an optimized crystal structure of BaHfS2N.

Cell lengths 5.564, 5.564, 4.199 Å; angles 90.00, 90.00, 90.00 degrees
Sites, in units of the cell vectors:
Ba (0.000, 0.000, 0.000)
Hf (0.500, 0.500, 0.500)
S (0.000, 0.500, 0.000)
S (0.500, 0.000, 0.000)
N (0.000, 0.000, 0.500)

Summary:
The value obtained for the energy above the lowest structure with this stoichiometry is 2480 meV per atom. The crystal system is tetragonal. As for the space-group type: P4/mmm.